(1)
Below is an optimized crystal structure of Ac2AgHgO5, with properties calculated at the PBE level.

Output
The value obtained for the total energy is -5.799 eV per atom. As for the crystal system: tetragonal. Its raw formation energy is -1.7812 eV/atom. For the density of states at the Fermi level, the calculation gives 6.675 states/eV/cell.

abc: 5.8735 7.3611 7.3611
angles: 90.00 90.00 90.00
Atoms (fractional coordinates):
Hg1 0.0000 0.0000 0.0000
Hg2 0.0000 0.5000 0.5000
O1 0.2570 0.3713 0.1287
O2 0.2570 0.8713 0.3713
O3 0.7430 0.6287 0.8713
O4 0.2570 0.1287 0.6287
O5 0.7430 0.3713 0.1287
O6 0.5000 0.0000 0.0000
O7 0.2570 0.6287 0.8713
O8 0.7430 0.8713 0.3713
O9 0.7430 0.1287 0.6287
O10 0.5000 0.5000 0.5000
Ac1 0.5000 0.1798 0.3202
Ac2 0.5000 0.8202 0.6798
Ac3 0.5000 0.3202 0.8202
Ac4 0.5000 0.6798 0.1798
Ag1 0.0000 0.0000 0.5000
Ag2 0.0000 0.5000 0.0000

(2)
Below is an optimized crystal structure of HfCrIN2, with properties calculated at the PBE level.

Output
The value obtained for the total energy is -6.668 eV per atom. As for the crystal system: tetragonal. The energy relative to the lowest polymorph listed for this composition comes out at 0.4256 eV per atom. Its raw formation energy is 0.8879 eV/atom. For the density of states at the Fermi level, the calculation gives 3.706 states/eV/cell.

abc: 3.8971 3.8971 5.0694
angles: 90.00 90.00 90.00
Atoms (fractional coordinates):
Cr1 0.0000 0.0000 0.0000
Hf1 0.5000 0.5000 0.5000
N1 0.0000 0.5000 0.0000
N2 0.5000 0.0000 0.0000
I1 0.0000 0.0000 0.5000

(3)
Below is an optimized crystal structure of AlInCl, with properties calculated at the PBE level.

Output
The value obtained for the total energy is -2.715 eV per atom. As for the crystal system: cubic. The energy relative to the lowest polymorph listed for this composition comes out at 0.3912 eV per atom. Its raw formation energy is 0.0610 eV/atom. For the density of states at the Fermi level, the calculation gives 2.866 states/eV/cell.

abc: 4.9679 4.9679 4.9679
angles: 60.00 60.00 60.00
Atoms (fractional coordinates):
In1 0.5000 0.5000 0.5000
Al1 0.7500 0.7500 0.7500
Cl1 0.0000 0.0000 0.0000

(4)
Below is an optimized crystal structure of LaSiSe3, with properties calculated at the PBE level.

Output
The value obtained for the total energy is -4.037 eV per atom. As for the crystal system: cubic. The energy relative to the lowest polymorph listed for this composition comes out at 1.3780 eV per atom. Its raw formation energy is 0.1239 eV/atom. For the density of states at the Fermi level, the calculation gives 6.892 states/eV/cell.

abc: 5.7068 5.7068 5.7068
angles: 90.00 90.00 90.00
Atoms (fractional coordinates):
Si1 0.5000 0.5000 0.5000
La1 0.0000 0.0000 0.0000
Se1 0.5000 0.0000 0.0000
Se2 0.0000 0.0000 0.5000
Se3 0.0000 0.5000 0.0000